Record 1
# Cr2H2Pd PBE optimized geometry
# Size of the total moment ... 3.54 μB/f.u.
# DOS at the Fermi energy ... 3.10 states/eV/cell
# Calculated density ... 7764 kg/m³
# VASP energy ... -6.08 eV/atom
# ΔE to the lowest computed polymorph ... 0.000 eV/atom
data_Cr2H2Pd
_cell_length_a 4.770
_cell_length_b 4.770
_cell_length_c 4.770
_cell_angle_alpha 139.45
_cell_angle_beta 139.45
_cell_angle_gamma 58.69
_symmetry_space_group_name_H-M 'P 1'
_symmetry_Int_Tables_number 1
loop_
_symmetry_equiv_pos_as_xyz
'x,y,z'
loop_
_atom_site_label
_atom_site_fract_x
_atom_site_fract_y
_atom_site_fract_z
Cr1 0.165 0.165 0.000
Cr2 0.835 0.835 0.000
H1 0.250 0.750 0.500
H2 0.750 0.250 0.500
Pd1 0.500 0.500 0.000

---

Record 2
# Cs4Rb5Pd PBE optimized geometry
# Size of the total moment ... 0.00 μB/f.u.
# Formation energy from the elements ... 0.03 eV per atom
# DOS at the Fermi energy ... 7.59 states/eV/cell
# Calculated density ... 2031 kg/m³
# VASP energy ... -1.31 eV/atom
data_Cs4Rb5Pd
_cell_length_a 12.184
_cell_length_b 12.184
_cell_length_c 14.868
_cell_angle_alpha 100.88
_cell_angle_beta 100.88
_cell_angle_gamma 23.72
_symmetry_space_group_name_H-M 'P 1'
_symmetry_Int_Tables_number 1
loop_
_symmetry_equiv_pos_as_xyz
'x,y,z'
loop_
_atom_site_label
_atom_site_fract_x
_atom_site_fract_y
_atom_site_fract_z
Cs1 0.002 0.002 0.161
Cs2 0.351 0.351 0.960
Cs3 0.649 0.649 0.040
Cs4 0.998 0.998 0.839
Rb1 0.172 0.172 0.394
Rb2 0.172 0.172 0.714
Rb3 0.500 0.500 0.500
Rb4 0.828 0.828 0.286
Rb5 0.828 0.828 0.606
Pd1 0.500 0.500 0.000

---

Record 3
# Pm2Pr3Nd8 PBE optimized geometry
# Size of the total moment ... 0.00 μB/f.u.
# Formation energy from the elements ... 0.15 eV per atom
# DOS at the Fermi energy ... 21.44 states/eV/cell
# Calculated density ... 6681 kg/m³
# VASP energy ... -4.62 eV/atom
# ΔE to the lowest computed polymorph ... 0.000 eV/atom
data_Pm2Pr3Nd8
_cell_length_a 8.995
_cell_length_b 8.995
_cell_length_c 6.292
_cell_angle_alpha 107.29
_cell_angle_beta 107.29
_cell_angle_gamma 83.48
_symmetry_space_group_name_H-M 'P 1'
_symmetry_Int_Tables_number 1
loop_
_symmetry_equiv_pos_as_xyz
'x,y,z'
loop_
_atom_site_label
_atom_site_fract_x
_atom_site_fract_y
_atom_site_fract_z
Pm1 0.212 0.212 0.350
Pm2 0.788 0.788 0.650
Pr1 0.258 0.742 0.000
Pr2 0.500 0.500 0.500
Pr3 0.742 0.258 0.000
Nd1 0.055 0.055 0.782
Nd2 0.070 0.583 0.324
Nd3 0.345 0.345 0.948
Nd4 0.417 0.930 0.676
Nd5 0.583 0.070 0.324
Nd6 0.655 0.655 0.052
Nd7 0.930 0.417 0.676
Nd8 0.945 0.945 0.218

---

Record 4
# CoMoRh2 PBE optimized geometry
# Size of the total moment ... 1.07 μB/f.u.
# Formation energy from the elements ... 0.15 eV per atom
# DOS at the Fermi energy ... 5.97 states/eV/cell
# Calculated density ... 10642 kg/m³
# VASP energy ... -8.01 eV/atom
# ΔE to the lowest computed polymorph ... 0.262 eV/atom
data_CoMoRh2
_cell_length_a 4.302
_cell_length_b 4.302
_cell_length_c 4.302
_cell_angle_alpha 60.00
_cell_angle_beta 60.00
_cell_angle_gamma 60.00
_symmetry_space_group_name_H-M 'P 1'
_symmetry_Int_Tables_number 1
loop_
_symmetry_equiv_pos_as_xyz
'x,y,z'
loop_
_atom_site_label
_atom_site_fract_x
_atom_site_fract_y
_atom_site_fract_z
Co1 0.000 0.000 0.000
Mo1 0.500 0.500 0.500
Rh1 0.250 0.250 0.250
Rh2 0.750 0.750 0.750

---

Record 5
# Sm6HoTm12 PBE optimized geometry
# Size of the total moment ... 0.00 μB/f.u.
# Formation energy from the elements ... 0.13 eV per atom
# DOS at the Fermi energy ... 28.25 states/eV/cell
# Calculated density ... 8539 kg/m³
# VASP energy ... -4.43 eV/atom
# ΔE to the lowest computed polymorph ... 0.000 eV/atom
data_Sm6HoTm12
_cell_length_a 8.569
_cell_length_b 8.569
_cell_length_c 8.569
_cell_angle_alpha 79.65
_cell_angle_beta 79.65
_cell_angle_gamma 79.65
_symmetry_space_group_name_H-M 'P 1'
_symmetry_Int_Tables_number 1
loop_
_symmetry_equiv_pos_as_xyz
'x,y,z'
loop_
_atom_site_label
_atom_site_fract_x
_atom_site_fract_y
_atom_site_fract_z
Sm1 0.267 0.267 0.663
Sm2 0.267 0.663 0.267
Sm3 0.337 0.733 0.733
Sm4 0.663 0.267 0.267
Sm5 0.733 0.337 0.733
Sm6 0.733 0.733 0.337
Ho1 0.500 0.500 0.500
Tm1 0.014 0.014 0.695
Tm2 0.014 0.695 0.014
Tm3 0.015 0.363 0.363
Tm4 0.305 0.986 0.986
Tm5 0.363 0.015 0.363
Tm6 0.363 0.363 0.015
Tm7 0.637 0.637 0.985
Tm8 0.637 0.985 0.637
Tm9 0.695 0.014 0.014
Tm10 0.985 0.637 0.637
Tm11 0.986 0.305 0.986
Tm12 0.986 0.986 0.305

---

Record 6
# Tl2Zn2Ni PBE optimized geometry
# Size of the total moment ... 0.00 μB/f.u.
# Formation energy from the elements ... 0.26 eV per atom
# DOS at the Fermi energy ... 5.58 states/eV/cell
# Calculated density ... 9404 kg/m³
# VASP energy ... -2.35 eV/atom
data_Tl2Zn2Ni
_cell_length_a 6.509
_cell_length_b 6.509
_cell_length_c 4.987
_cell_angle_alpha 90.00
_cell_angle_beta 90.00
_cell_angle_gamma 90.00
_symmetry_space_group_name_H-M 'P 1'
_symmetry_Int_Tables_number 1
loop_
_symmetry_equiv_pos_as_xyz
'x,y,z'
loop_
_atom_site_label
_atom_site_fract_x
_atom_site_fract_y
_atom_site_fract_z
Tl1 0.182 0.318 0.000
Tl2 0.318 0.818 0.000
Tl3 0.682 0.182 0.000
Tl4 0.818 0.682 0.000
Zn1 0.153 0.653 0.500
Zn2 0.347 0.153 0.500
Zn3 0.653 0.847 0.500
Zn4 0.847 0.347 0.500
Ni1 0.000 0.000 0.500
Ni2 0.500 0.500 0.500

---

Record 7
# PrTh2PaN4 PBE optimized geometry
# Size of the total moment ... 0.00 μB/f.u.
# DOS at the Fermi energy ... 3.14 states/eV/cell
# Formation energy from raw total energies ... -148.06 kJ/mol of atoms
# Calculated density ... 11003 kg/m³
# VASP energy ... -9.34 eV/atom
data_PrTh2PaN4
_cell_length_a 6.269
_cell_length_b 3.620
_cell_length_c 6.286
_cell_angle_alpha 90.00
_cell_angle_beta 109.35
_cell_angle_gamma 90.00
_symmetry_space_group_name_H-M 'P 1'
_symmetry_Int_Tables_number 1
loop_
_symmetry_equiv_pos_as_xyz
'x,y,z'
loop_
_atom_site_label
_atom_site_fract_x
_atom_site_fract_y
_atom_site_fract_z
Pr1 0.000 0.000 0.000
Th1 0.000 0.500 0.500
Th2 0.500 0.000 0.500
Pa1 0.500 0.500 0.000
N1 0.277 0.000 0.770
N2 0.277 0.500 0.245
N3 0.723 0.000 0.230
N4 0.723 0.500 0.755

---

Record 8
# Pr2Nd6Ho3 PBE optimized geometry
# Size of the total moment ... 0.00 μB/f.u.
# Formation energy from the elements ... 0.28 eV per atom
# DOS at the Fermi energy ... 16.47 states/eV/cell
# Calculated density ... 6873 kg/m³
# VASP energy ... -4.44 eV/atom
# ΔE to the lowest computed polymorph ... 0.264 eV/atom
data_Pr2Nd6Ho3
_cell_length_a 17.539
_cell_length_b 17.539
_cell_length_c 17.539
_cell_angle_alpha 164.26
_cell_angle_beta 164.26
_cell_angle_gamma 22.32
_symmetry_space_group_name_H-M 'P 1'
_symmetry_Int_Tables_number 1
loop_
_symmetry_equiv_pos_as_xyz
'x,y,z'
loop_
_atom_site_label
_atom_site_fract_x
_atom_site_fract_y
_atom_site_fract_z
Pr1 0.045 0.045 0.000
Pr2 0.955 0.955 0.000
Nd1 0.123 0.623 0.500
Nd2 0.204 0.204 0.000
Nd3 0.377 0.877 0.500
Nd4 0.623 0.123 0.500
Nd5 0.796 0.796 0.000
Nd6 0.877 0.377 0.500
Ho1 0.304 0.304 0.000
Ho2 0.500 0.500 0.000
Ho3 0.696 0.696 0.000

---

Record 9
# ScRuPb2 PBE optimized geometry
# Size of the total moment ... 0.00 μB/f.u.
# Formation energy from the elements ... 0.08 eV per atom
# DOS at the Fermi energy ... 3.60 states/eV/cell
# Calculated density ... 10455 kg/m³
# VASP energy ... -5.67 eV/atom
# ΔE to the lowest computed polymorph ... 0.203 eV/atom
data_ScRuPb2
_cell_length_a 5.719
_cell_length_b 5.719
_cell_length_c 5.719
_cell_angle_alpha 144.27
_cell_angle_beta 124.20
_cell_angle_gamma 68.04
_symmetry_space_group_name_H-M 'P 1'
_symmetry_Int_Tables_number 1
loop_
_symmetry_equiv_pos_as_xyz
'x,y,z'
loop_
_atom_site_label
_atom_site_fract_x
_atom_site_fract_y
_atom_site_fract_z
Sc1 0.000 0.000 0.000
Ru1 0.500 0.500 0.000
Pb1 0.272 0.772 0.500
Pb2 0.728 0.228 0.500

---

Record 10
# Li5TbPd6 PBE optimized geometry
# Size of the total moment ... 0.00 μB/f.u.
# Formation energy from the elements ... -0.53 eV per atom
# DOS at the Fermi energy ... 2.43 states/eV/cell
# Calculated density ... 7646 kg/m³
# VASP energy ... -4.31 eV/atom
data_Li5TbPd6
_cell_length_a 4.185
_cell_length_b 6.896
_cell_length_c 6.607
_cell_angle_alpha 90.00
_cell_angle_beta 108.59
_cell_angle_gamma 90.00
_symmetry_space_group_name_H-M 'P 1'
_symmetry_Int_Tables_number 1
loop_
_symmetry_equiv_pos_as_xyz
'x,y,z'
loop_
_atom_site_label
_atom_site_fract_x
_atom_site_fract_y
_atom_site_fract_z
Li1 0.000 0.000 0.000
Li2 0.319 0.500 0.640
Li3 0.333 0.000 0.665
Li4 0.667 0.000 0.335
Li5 0.681 0.500 0.360
Tb1 0.000 0.500 0.000
Pd1 0.170 0.233 0.341
Pd2 0.170 0.767 0.341
Pd3 0.500 0.225 0.000
Pd4 0.500 0.775 0.000
Pd5 0.830 0.233 0.659
Pd6 0.830 0.767 0.659

---

> What is the size of the total moment in the first record?

3.54 μB/f.u.

---

> What is the VASP energy in the fourth record?

-8.01 eV/atom

---

> Which of these has the lowest calculated density?

Cs4Rb5Pd

---

> The lowest calculated density belongs to which entry?

Cs4Rb5Pd